Record 1
Material: MgCoReOs
Method: DFT, PBE
State: optimized geometry

Geometry as POSCAR:
```
MgCoReOs
1.0
0.0000 3.0419 3.0419
3.0419 0.0000 3.0419
3.0419 3.0419 0.0000
Mg Co Re Os
1 1 1 1
Direct
0.0000 0.0000 0.0000
0.7500 0.7500 0.7500
0.5000 0.5000 0.5000
0.2500 0.2500 0.2500
```

Values from the calculation:
size of the total moment: 1.8 μB/f.u.
space group: F-43m
uncorrected energy: -7.9628 eV/atom

Record 2
Material: AcMgGe2
Method: DFT, PBE
State: optimized geometry

Geometry as POSCAR:
```
AcMgGe2
1.0
4.1772 0.0000 0.0000
0.0000 3.1643 4.1726
0.0000 -3.1643 4.1726
Ac Mg Ge
1 1 2
Direct
0.0000 0.0000 0.0000
0.5000 0.5748 0.5748
0.5000 0.0940 0.4845
0.5000 0.4845 0.0940
```

Values from the calculation:
size of the total moment: 0.0 μB/f.u.
space group: Amm2
uncorrected energy: -4.0971 eV/atom

Record 3
Material: La2PrFe
Method: DFT, PBE
State: optimized geometry

Geometry as POSCAR:
```
La2PrFe
1.0
2.2699 1.3105 6.5462
-2.2699 1.3105 6.5462
0.0000 -2.6210 6.5462
La Pr Fe
2 1 1
Direct
0.2220 0.2220 0.2220
0.7780 0.7780 0.7780
0.0000 0.0000 0.0000
0.5000 0.5000 0.5000
```

Values from the calculation:
relative energy among the computed polymorphs: 261 meV/atom
size of the total moment: 0.0 μB/f.u.
space group: R-3m